(1)
DFT (PBE) results for LiCu2Si after structural relaxation.

Results
Mass density in Mg/m³: 4.817
Energy relative to the elements, uncorrected in meV/atom: 186
Magnetic moment in Bohr magnetons per cell: 0.00

abc: 3.664 3.664 16.655
angles: 90.00 90.00 90.00
Space group I-42d (No. 122)
Symmetry-distinct sites (fractional):
Li (0.000, 0.000, 0.000) [4 per cell]
Cu (0.230, 0.250, 0.625) [8 per cell]
Si (0.000, 0.000, 0.500) [4 per cell]

***

(2)
DFT (PBE) results for LiCu3Si2 after structural relaxation.

Results
Mass density in Mg/m³: 5.158
Energy relative to the elements, uncorrected in meV/atom: -94
Magnetic moment in Bohr magnetons per cell: 0.00

abc: 3.992 7.103 11.523
angles: 90.00 90.00 90.00
Space group Immm (No. 71)
Symmetry-distinct sites (fractional):
Li (0.000, 0.000, 0.126) [4 per cell]
Cu (0.000, 0.194, 0.317) [8 per cell]
Cu (0.000, 0.329, 0.000) [4 per cell]
Si (0.000, 0.340, 0.500) [4 per cell]
Si (0.000, 0.500, 0.194) [4 per cell]

***

(3)
DFT (PBE) results for LiCuSi2 after structural relaxation.

Results
Mass density in Mg/m³: 3.987
Energy relative to the elements, uncorrected in meV/atom: -28
Magnetic moment in Bohr magnetons per cell: 0.00
Polymorph energy (0 for the lowest one) in meV per atom: 10

abc: 5.211 7.928 2.554
angles: 90.00 90.00 90.00
Space group Cmmm (No. 65)
Symmetry-distinct sites (fractional):
Li (0.000, 0.000, 0.000) [2 per cell]
Cu (0.000, 0.500, 0.000) [2 per cell]
Si (0.250, 0.250, 0.500) [4 per cell]

***

(4)
DFT (PBE) results for LiCu14Si after structural relaxation.

Results
Mass density in Mg/m³: 8.019
Energy relative to the elements, uncorrected in meV/atom: -26
Magnetic moment in Bohr magnetons per cell: 0.00

abc: 8.348 5.212 8.800
angles: 90.00 90.00 90.00
Space group Amm2 (No. 38)
Symmetry-distinct sites (fractional):
Li (0.000, 0.000, 0.000) [2 per cell]
Cu (0.000, 0.249, 0.750) [4 per cell]
Cu (0.246, 0.000, 0.332) [4 per cell]
Cu (0.248, 0.249, 0.080) [8 per cell]
Cu (0.255, 0.000, 0.829) [4 per cell]
Cu (0.500, 0.000, 0.161) [2 per cell]
Cu (0.500, 0.000, 0.659) [2 per cell]
Cu (0.500, 0.248, 0.411) [4 per cell]
Si (0.000, 0.000, 0.505) [2 per cell]

***

(5)
DFT (PBE) results for Li2Cu6Si after structural relaxation.

Results
Mass density in Mg/m³: 6.203
Energy relative to the elements, uncorrected in meV/atom: 23
Magnetic moment in Bohr magnetons per cell: 0.00
Polymorph energy (0 for the lowest one) in meV per atom: 68

abc: 9.365 10.243 4.745
angles: 90.00 95.28 90.00
Space group C2/c (No. 15)
Symmetry-distinct sites (fractional):
Li (0.135, 0.018, 0.377) [8 per cell]
Cu (0.013, 0.203, 0.993) [8 per cell]
Cu (0.136, 0.408, 0.775) [8 per cell]
Cu (0.236, 0.307, 0.259) [8 per cell]
Si (0.000, 0.399, 0.250) [4 per cell]

***

(6)
DFT (PBE) results for LiCuSi2 after structural relaxation.

Results
Mass density in Mg/m³: 3.829
Energy relative to the elements, uncorrected in meV/atom: 131
Magnetic moment in Bohr magnetons per cell: 0.00
Polymorph energy (0 for the lowest one) in meV per atom: 169

abc: 6.034 6.034 6.034
angles: 90.00 90.00 90.00
Space group Fm-3m (No. 225)
Symmetry-distinct sites (fractional):
Li (0.000, 0.000, 0.000) [4 per cell]
Cu (0.000, 0.000, 0.500) [4 per cell]
Si (0.250, 0.250, 0.250) [8 per cell]

***

(7)
DFT (PBE) results for LiCu2Si2 after structural relaxation.

Results
Mass density in Mg/m³: 4.223
Energy relative to the elements, uncorrected in meV/atom: -83
Magnetic moment in Bohr magnetons per cell: 0.00

abc: 6.505 5.167 8.901
angles: 90.00 90.00 90.00
Space group Cmcm (No. 63)
Symmetry-distinct sites (fractional):
Li (0.000, 0.195, 0.250) [4 per cell]
Cu (0.200, 0.000, 0.000) [8 per cell]
Si (0.000, 0.325, 0.616) [8 per cell]

***

(8)
DFT (PBE) results for LiCu2Si after structural relaxation.

Results
Mass density in Mg/m³: 5.377
Energy relative to the elements, uncorrected in meV/atom: -74
Magnetic moment in Bohr magnetons per cell: 0.00

abc: 2.577 4.027 4.870
angles: 90.00 97.77 90.00
Space group P2/m (No. 10)
Symmetry-distinct sites (fractional):
Li (0.000, 0.000, 0.000) [1 per cell]
Cu (0.300, 0.500, 0.744) [2 per cell]
Si (0.500, 0.000, 0.500) [1 per cell]